Record 1
Here is an optimized crystal structure of BaCoO2 from the Alexandria database. Energies are from PBE with a Hubbard U. Values from VASP.

The total energy comes out at -5.300 eV/atom. As for the space-group type: Fd-3m, No. 227.

Quantum ESPRESSO input file:
```
&SYSTEM
  ibrav = 0, nat = 8, ntyp = 3
/
ATOMIC_SPECIES
Ba 137.33 Ba.upf
Co 58.93 Co.upf
O 16.00 O.upf
CELL_PARAMETERS angstrom
0.000 4.315 4.315
4.315 0.000 4.315
4.315 4.315 0.000
ATOMIC_POSITIONS crystal
Ba 0.125 0.125 0.125
Ba 0.875 0.875 0.875
Co 0.375 0.375 0.375
Co 0.625 0.625 0.625
O 0.000 0.500 0.500
O 0.500 0.000 0.500
O 0.500 0.500 0.000
O 0.500 0.500 0.500
```

=====

Record 2
Here is an optimized crystal structure of Ba3CoO5 from the Alexandria database. Energies are from PBE with a Hubbard U. Values from VASP.

The total energy comes out at -6.055 eV/atom. As for the space-group type: I4/mcm, No. 140.

Quantum ESPRESSO input file:
```
&SYSTEM
  ibrav = 0, nat = 18, ntyp = 3
/
ATOMIC_SPECIES
Ba 137.33 Ba.upf
Co 58.93 Co.upf
O 16.00 O.upf
CELL_PARAMETERS angstrom
-3.696 3.696 5.867
3.696 -3.696 5.867
3.696 3.696 -5.867
ATOMIC_POSITIONS crystal
Ba 0.177 0.677 0.854
Ba 0.250 0.250 0.000
Ba 0.323 0.177 0.500
Ba 0.677 0.823 0.500
Ba 0.750 0.750 0.000
Ba 0.823 0.323 0.146
Co 0.250 0.750 0.500
Co 0.750 0.250 0.500
O 0.000 0.000 0.000
O 0.019 0.793 0.500
O 0.207 0.707 0.226
O 0.293 0.519 0.500
O 0.481 0.981 0.774
O 0.500 0.500 0.000
O 0.519 0.019 0.226
O 0.707 0.481 0.500
O 0.793 0.293 0.774
O 0.981 0.207 0.500
```

=====

Record 3
Here is an optimized crystal structure of Ba5CoO6 from the Alexandria database. Energies are from PBE with a Hubbard U. Values from VASP.

The total energy comes out at -5.791 eV/atom. As for the space-group type: C2/m, No. 12.

Quantum ESPRESSO input file:
```
&SYSTEM
  ibrav = 0, nat = 12, ntyp = 3
/
ATOMIC_SPECIES
Ba 137.33 Ba.upf
Co 58.93 Co.upf
O 16.00 O.upf
CELL_PARAMETERS angstrom
3.317 -5.865 0.000
3.317 5.865 0.000
-1.972 0.000 6.370
ATOMIC_POSITIONS crystal
Ba 0.000 0.000 0.000
Ba 0.174 0.826 0.500
Ba 0.339 0.661 0.000
Ba 0.661 0.339 0.000
Ba 0.826 0.174 0.500
Co 0.500 0.500 0.500
O 0.050 0.398 0.224
O 0.308 0.308 0.668
O 0.398 0.050 0.224
O 0.602 0.950 0.776
O 0.692 0.692 0.332
O 0.950 0.602 0.776
```

=====

Record 4
Here is an optimized crystal structure of BaCoO2 from the Alexandria database. Energies are from PBE with a Hubbard U. Values from VASP.

The total energy comes out at -5.949 eV/atom. As for the space-group type: I-42d, No. 122.

Quantum ESPRESSO input file:
```
&SYSTEM
  ibrav = 0, nat = 8, ntyp = 3
/
ATOMIC_SPECIES
Ba 137.33 Ba.upf
Co 58.93 Co.upf
O 16.00 O.upf
CELL_PARAMETERS angstrom
-3.011 3.011 3.579
3.011 -3.011 3.579
3.011 3.011 -3.579
ATOMIC_POSITIONS crystal
Ba 0.000 0.000 0.000
Ba 0.750 0.250 0.500
Co 0.250 0.750 0.500
Co 0.500 0.500 0.000
O 0.211 0.625 0.086
O 0.375 0.461 0.586
O 0.539 0.125 0.914
O 0.875 0.789 0.414
```

=====

Record 5
Here is an optimized crystal structure of Ba3Co2O6 from the Alexandria database. Energies are from PBE with a Hubbard U. Values from VASP.

The total energy comes out at -6.010 eV/atom. As for the space-group type: I4/mmm, No. 139.

Quantum ESPRESSO input file:
```
&SYSTEM
  ibrav = 0, nat = 11, ntyp = 3
/
ATOMIC_SPECIES
Ba 137.33 Ba.upf
Co 58.93 Co.upf
O 16.00 O.upf
CELL_PARAMETERS angstrom
-2.039 2.039 10.729
2.039 -2.039 10.729
2.039 2.039 -10.729
ATOMIC_POSITIONS crystal
Ba 0.000 0.000 0.000
Ba 0.176 0.176 0.000
Ba 0.824 0.824 0.000
Co 0.393 0.393 0.000
Co 0.607 0.607 0.000
O 0.088 0.588 0.500
O 0.308 0.308 0.000
O 0.412 0.912 0.500
O 0.588 0.088 0.500
O 0.692 0.692 0.000
O 0.912 0.412 0.500
```

=====

Record 6
Here is an optimized crystal structure of BaCoO2 from the Alexandria database. Energies are from PBE with a Hubbard U. Values from VASP.

The total energy comes out at -4.842 eV/atom. As for the space-group type: R-3m, No. 166.

Quantum ESPRESSO input file:
```
&SYSTEM
  ibrav = 0, nat = 4, ntyp = 3
/
ATOMIC_SPECIES
Ba 137.33 Ba.upf
Co 58.93 Co.upf
O 16.00 O.upf
CELL_PARAMETERS angstrom
1.588 0.917 6.690
-1.588 0.917 6.690
0.000 -1.834 6.690
ATOMIC_POSITIONS crystal
Ba 0.000 0.000 0.000
Co 0.500 0.500 0.500
O 0.123 0.123 0.123
O 0.877 0.877 0.877
```

=====

> The highest total energy belongs to which entry?

number 6

=====

> What is the total energy in the fifth record?

-6.010 eV/atom

=====

> Which formula does entry 5 have?

Ba3Co2O6

=====

> Look up the total energy of the first one.

-5.300 eV/atom